No. 1
First-principles (PBE-GGA) data for a relaxed structure of LaNd2As3, as listed in the Alexandria database.

Cell: 4.3115 6.0898 7.4591 Å, 114.09 106.80 90.00°
With the nearest neighbours (Å) after each atom.
Element x y z (fractional)
As (0.6689, 0.6689, 0.3378)  4 Nd 3.03-3.05, 2 La 3.07
As (0.0000, 0.0000, 0.0000)  2 La 3.04, 4 Nd 3.05
As (0.3311, 0.3311, 0.6622)  4 Nd 3.03-3.05, 2 La 3.07
Nd (0.3335, 0.8335, 0.6670)  6 As 3.03-3.05
Nd (0.6665, 0.1665, 0.3330)  6 As 3.03-3.05
La (0.0000, 0.5000, 0.0000)  6 As 3.04-3.07

Formation enthalpy at 0 K, eV/atom: -1.5319
Symmetry: Immm, No. 71

=====

No. 2
First-principles (PBE-GGA) data for a relaxed structure of La2NdAs, as listed in the Alexandria database.

Cell: 3.9021 3.9021 8.2027 Å, 90.00 90.00 90.00°
With the nearest neighbours (Å) after each atom.
Element x y z (fractional)
As (0.5000, 0.5000, 0.0000)  8 La 3.19
La (0.0000, 0.0000, 0.1946)  4 As 3.19, 1 La 3.19
La (0.0000, 0.0000, 0.8054)  4 As 3.19, 1 La 3.19
Nd (0.5000, 0.5000, 0.5000)  8 La 3.73, 4 Nd 3.90, 2 As 4.10

ΔE to the lowest computed polymorph, meV per atom: 46.8
Formation enthalpy at 0 K, eV/atom: -0.5832
Symmetry: P4/mmm, No. 123